First-principles (PBE) data for a relaxed structure of Tb3PtCl3, as listed in Alexandria via LeMat-Bulk.

a b c (Å): 11.2131 11.2131 11.2131
angles (deg): 35.20 35.20 35.20
Last column: nearest neighbours and their distance in Å.
Sites, in units of the cell vectors:
Tb1 0.1068 0.4469 0.7870  2 Pt 2.79, 3 Cl 2.84-2.85
Tb2 0.2130 0.8932 0.5531  2 Pt 2.79, 3 Cl 2.84-2.85
Tb3 0.4469 0.7870 0.1068  2 Pt 2.79, 3 Cl 2.84-2.85
Tb4 0.5531 0.2130 0.8932  2 Pt 2.79, 3 Cl 2.84-2.85
Tb5 0.7870 0.1068 0.4469  2 Pt 2.79, 3 Cl 2.84-2.85
Tb6 0.8932 0.5531 0.2130  2 Pt 2.79, 3 Cl 2.84-2.85
Pt1 0.1667 0.1667 0.1667  6 Tb 2.79
Pt2 0.8333 0.8333 0.8333  6 Tb 2.79
Cl1 0.0647 0.7196 0.3921  3 Tb 2.84-2.85
Cl2 0.2804 0.6079 0.9353  3 Tb 2.84-2.85
Cl3 0.3921 0.0647 0.7196  3 Tb 2.84-2.85
Cl4 0.6079 0.9353 0.2804  3 Tb 2.84-2.85
Cl5 0.7196 0.3921 0.0647  3 Tb 2.84-2.85
Cl6 0.9353 0.2804 0.6079  3 Tb 2.84-2.85

Summary:
The magnetic moment comes out at 0.00 μB/cell. The density of states at the Fermi level comes out at 5.5 states/eV/cell. For the total energy, the calculation gives -5.2768 eV/atom.